VASP calculation (PBE-GGA) on a relaxed NaSmAsO crystal.

POSCAR file:
```
NaSmAsO
1.0
3.6517 0.0000 0.0000
0.0000 8.1787 0.0000
0.0000 0.0000 6.6114
Na Sm As O
2 2 2 2
Cartesian
0.0000 1.8384 0.0000 Na
0.0000 6.3403 3.3057 Na
1.8258 3.0674 3.7738 Sm
1.8258 5.1113 0.4681 Sm
0.0000 1.0073 2.8437 As
0.0000 7.1713 6.1494 As
1.8258 3.2442 5.9561 O
1.8258 4.9345 2.6504 O
```

Computed properties:
excess energy over the best structure of this formula in the dataset = 302.8 meV/atom
SG = Pmc2_1 (26)
E_tot = -5.27 eV per atom